First-principles (PBE) data for crystalline Ni2Ag2Hg at its relaxed geometry, as listed in Alexandria via LeMat-Bulk.

Computed properties:
**SG**: No. 127
**Excess energy over the best structure of this formula in the dataset**: 0 meV per atom
**Total magnetization**: 0.00 μB/f.u.

abc: 6.5829 6.5829 3.8148
angles: 90.00 90.00 90.00
Atoms (fractional coordinates):
Ni 0.1259 0.3741 0.0000
Ni 0.3741 0.8741 0.0000
Ni 0.6259 0.1259 0.0000
Ni 0.8741 0.6259 0.0000
Ag 0.1656 0.6656 0.5000
Ag 0.3344 0.1656 0.5000
Ag 0.6656 0.8344 0.5000
Ag 0.8344 0.3344 0.5000
Hg 0.0000 0.0000 0.0000
Hg 0.5000 0.5000 0.0000